Pm2DyS3 | PBE | relaxed

a b c (Å): 3.9463 3.9463 20.0672
angles (deg): 90.00 90.00 120.00
Positions (direct):
Pm1 0.3333 0.6667 0.0833
Pm2 0.3333 0.6667 0.4167
Pm3 0.6667 0.3333 0.5833
Pm4 0.6667 0.3333 0.9167
Dy1 0.0000 0.0000 0.2500
Dy2 0.0000 0.0000 0.7500
S1 0.0000 0.0000 0.0000
S2 0.0000 0.0000 0.5000
S3 0.3333 0.6667 0.6688
S4 0.3333 0.6667 0.8312
S5 0.6667 0.3333 0.1688
S6 0.6667 0.3333 0.3312

Results
excess energy over the best structure of this formula in the dataset: 19 meV per atom
formation energy (no corrections): -2.00 eV/atom
space group: P6_3/mmc

PmDy2S5 | PBE | relaxed

a b c (Å): 8.1441 8.1441 8.1441
angles (deg): 126.46 126.46 79.13
Positions (direct):
Pm1 0.2500 0.2500 0.0000
Pm2 0.7500 0.7500 0.0000
Dy1 0.1571 0.6571 0.8142
Dy2 0.3429 0.1571 0.5000
Dy3 0.6571 0.8429 0.5000
Dy4 0.8429 0.3429 0.1858
S1 0.0000 0.0000 0.0000
S2 0.0088 0.2012 0.5000
S3 0.2012 0.7012 0.1925
S4 0.2988 0.4912 0.5000
S5 0.4912 0.9912 0.1925
S6 0.5000 0.5000 0.0000
S7 0.5088 0.0088 0.8075
S8 0.7012 0.5088 0.5000
S9 0.7988 0.2988 0.8075
S10 0.9912 0.7988 0.5000

Results
formation energy (no corrections): -1.76 eV/atom
space group: I4/mcm

PmDyS2 | PBE | relaxed

a b c (Å): 7.2629 7.2629 7.2629
angles (deg): 30.94 30.94 30.94
Positions (direct):
Pm1 0.0000 0.0000 0.0000
Dy1 0.8218 0.8218 0.8218
S1 0.4129 0.4129 0.4129
S2 0.5754 0.5754 0.5754

Results
excess energy over the best structure of this formula in the dataset: 57 meV per atom
formation energy (no corrections): -1.96 eV/atom
space group: R3m

Pm5DyS6 | PBE | relaxed

a b c (Å): 6.9599 6.9599 6.9425
angles (deg): 99.67 99.67 120.12
Positions (direct):
Pm1 0.0000 0.0000 0.0000
Pm2 0.1674 0.8326 0.5000
Pm3 0.3300 0.6700 0.0000
Pm4 0.6700 0.3300 0.0000
Pm5 0.8326 0.1674 0.5000
Dy1 0.5000 0.5000 0.5000
S1 0.0923 0.4182 0.2550
S2 0.2563 0.2563 0.7475
S3 0.4182 0.0923 0.2550
S4 0.5818 0.9077 0.7450
S5 0.7437 0.7437 0.2525
S6 0.9077 0.5818 0.7450

Results
formation energy (no corrections): -2.03 eV/atom
space group: C2/m